DFT (PBE-GGA) results for a geometry-optimized TaTiCo3 structure.

The space group is Cmcm (No. 63) and the conventional cell measures 4.831, 12.611 and 4.458 Å, with angles of 90.00, 90.00 and 90.00 degrees. The distinct sites, in fractional coordinates, are Ta at (0.000, 0.202, 0.250), Ti at (0.000, 0.431, 0.750), Co at (0.000, 0.000, 0.000) and Co at (0.247, 0.369, 0.250).

Its offset from the most stable computed form is 0.0000 eV/atom. The total energy comes out at -8.305 eV/atom. The energy of formation from the pure elements comes out at -2.113 kcal/mol of atoms. As for the theoretical density: 9.921 g/cm³.